# PmZn2Rh, relaxed, DFT PBE-GGA
data_PmZn2Rh
_space_group_name_H-M_alt 'P 1'
_space_group_IT_number 1
_cell_length_a 4.2985
_cell_length_b 4.2985
_cell_length_c 14.8899
_cell_angle_alpha 90.00
_cell_angle_beta 90.00
_cell_angle_gamma 120.00
loop_
_space_group_symop_operation_xyz
'x,y,z'
loop_
_atom_site_label
_atom_site_type_symbol
_atom_site_fract_x
_atom_site_fract_y
_atom_site_fract_z
Pm1 Pm 0.0000 0.0000 0.0000
Pm2 Pm 0.3333 0.6667 0.6667
Pm3 Pm 0.6667 0.3333 0.3333
Zn1 Zn 0.0000 0.0000 0.2095
Zn2 Zn 0.0000 0.0000 0.7905
Zn3 Zn 0.3333 0.6667 0.4572
Zn4 Zn 0.3333 0.6667 0.8761
Zn5 Zn 0.6667 0.3333 0.1239
Zn6 Zn 0.6667 0.3333 0.5428
Rh1 Rh 0.0000 0.0000 0.5000
Rh2 Rh 0.3333 0.6667 0.1667
Rh3 Rh 0.6667 0.3333 0.8333
# - Energy relative to the elements: -0.4127 eV/atom
# - N(E_F): 3.2 states/eV/f.u.
# - Calculated density: 7.9 g/cm3
# - Polymorph energy (0 for the lowest one): 0.123 eV per atom
# - Raw total energy: -4.075 eV per atom
# - Calculated volume: 238 Å³/cell
# - Space-group type: R-3m, No. 166